(1)
Compound: Li3TcCl
Source: Alexandria via LeMat-Bulk
Functional: GGA-PBE
Structure: optimized geometry

Cell and atoms, written as CIF:
```
data_Li3TcCl
_chemical_formula_sum 'Li3 Tc1 Cl1'
_cell_length_a 5.1819
_cell_length_b 5.1819
_cell_length_c 5.1819
_cell_angle_alpha 90.00
_cell_angle_beta 90.00
_cell_angle_gamma 90.00
_symmetry_space_group_name_H-M 'P m -3 m'
_symmetry_Int_Tables_number 221
_symmetry_space_group_name_Hall '-P 4 2 3'
loop_
_atom_site_label
_atom_site_fract_x
_atom_site_fract_y
_atom_site_fract_z
Li1 0.0000 0.0000 0.5000
Tc1 0.0000 0.0000 0.0000
Cl1 0.5000 0.5000 0.5000
```

Computed properties:
Formation energy from raw total energies in eV/atom: 0.682
Theoretical density in g/cm³: 1.84
Relative energy among the computed polymorphs in eV/f.u.: 2.366
Total moment in μB per cell: 3.00
Total DFT energy (no corrections) in Ry per atom: -0.2138

(2)
Compound: Na5TlPb4
Source: Alexandria via LeMat-Bulk
Functional: GGA-PBE
Structure: optimized geometry

Cell and atoms, written as CIF:
```
data_Na5TlPb4
_chemical_formula_sum 'Na5 Tl1 Pb4'
_cell_length_a 3.7351
_cell_length_b 3.7351
_cell_length_c 20.2779
_cell_angle_alpha 90.00
_cell_angle_beta 90.00
_cell_angle_gamma 90.00
_symmetry_space_group_name_H-M 'P 4/m m m'
_symmetry_Int_Tables_number 123
_symmetry_space_group_name_Hall '-P 4 2'
loop_
_atom_site_label
_atom_site_fract_x
_atom_site_fract_y
_atom_site_fract_z
Na1 0.0000 0.0000 0.0000
Na2 0.0000 0.0000 0.1995
Na3 0.0000 0.0000 0.3996
Tl1 0.5000 0.5000 0.5000
Pb1 0.5000 0.5000 0.0988
Pb2 0.5000 0.5000 0.2997
```

Computed properties:
Theoretical density in g/cm³: 6.74
Total moment in μB per cell: 0.00
E_form in eV per atom: -0.121
Total DFT energy (no corrections) in Ry per atom: -0.1838

(3)
Compound: ErZrPbAu
Source: Alexandria via LeMat-Bulk
Functional: GGA-PBE
Structure: optimized geometry

Cell and atoms, written as CIF:
```
data_ErZrPbAu
_chemical_formula_sum 'Er4 Zr4 Pb4 Au4'
_cell_length_a 7.2042
_cell_length_b 7.2042
_cell_length_c 7.2042
_cell_angle_alpha 90.00
_cell_angle_beta 90.00
_cell_angle_gamma 90.00
_symmetry_space_group_name_H-M 'F -4 3 m'
_symmetry_Int_Tables_number 216
_symmetry_space_group_name_Hall 'F -4 2 3'
loop_
_atom_site_label
_atom_site_fract_x
_atom_site_fract_y
_atom_site_fract_z
Er1 0.0000 0.0000 0.0000
Zr1 0.0000 0.0000 0.5000
Pb1 0.2500 0.2500 0.7500
Au1 0.2500 0.2500 0.2500
```

Computed properties:
Theoretical density in g/cm³: 11.77
Total moment in μB per cell: 0.00
E_form in eV per atom: -0.379
Total DFT energy (no corrections) in Ry per atom: -0.3971

(4)
Compound: Be3Ru4
Source: Alexandria via LeMat-Bulk
Functional: GGA-PBE
Structure: optimized geometry

Cell and atoms, written as CIF:
```
data_Be3Ru4
_chemical_formula_sum 'Be3 Ru4'
_cell_length_a 4.4649
_cell_length_b 4.4649
_cell_length_c 4.7101
_cell_angle_alpha 90.00
_cell_angle_beta 90.00
_cell_angle_gamma 120.00
_symmetry_space_group_name_H-M 'P 6/m m m'
_symmetry_Int_Tables_number 191
_symmetry_space_group_name_Hall '-P 6 2'
loop_
_atom_site_label
_atom_site_fract_x
_atom_site_fract_y
_atom_site_fract_z
Be1 0.0000 0.5000 0.0000
Ru1 0.0000 0.0000 0.2501
Ru2 0.3333 0.6667 0.5000
```

Computed properties:
Theoretical density in g/cm³: 8.81
Total moment in μB per cell: 0.00
E_form in eV per atom: -0.061
Total DFT energy (no corrections) in Ry per atom: -0.5115

(5)
Compound: VRuPtW2
Source: Alexandria via LeMat-Bulk
Functional: GGA-PBE
Structure: optimized geometry

Cell and atoms, written as CIF:
```
data_VRuPtW2
_chemical_formula_sum 'V1 Ru1 Pt1 W2'
_cell_length_a 4.6637
_cell_length_b 4.6637
_cell_length_c 4.3988
_cell_angle_alpha 90.00
_cell_angle_beta 90.00
_cell_angle_gamma 90.00
_symmetry_space_group_name_H-M 'P 4/m m m'
_symmetry_Int_Tables_number 123
_symmetry_space_group_name_Hall '-P 4 2'
loop_
_atom_site_label
_atom_site_fract_x
_atom_site_fract_y
_atom_site_fract_z
V1 0.0000 0.0000 0.0000
Ru1 0.0000 0.0000 0.5000
Pt1 0.5000 0.5000 0.0000
W1 0.0000 0.5000 0.5000
```

Computed properties:
Theoretical density in g/cm³: 12.41
Relative energy among the computed polymorphs in eV/f.u.: 0.000
Total moment in μB per cell: 0.00
E_form in eV per atom: 1.507
Total DFT energy (no corrections) in Ry per atom: -0.6293

(6)
Compound: BaTl6Hg2
Source: Alexandria via LeMat-Bulk
Functional: GGA-PBE
Structure: optimized geometry

Cell and atoms, written as CIF:
```
data_BaTl6Hg2
_chemical_formula_sum 'Ba1 Tl6 Hg2'
_cell_length_a 4.8841
_cell_length_b 4.8841
_cell_length_c 12.2933
_cell_angle_alpha 90.00
_cell_angle_beta 90.00
_cell_angle_gamma 90.00
_symmetry_space_group_name_H-M 'P 4/m m m'
_symmetry_Int_Tables_number 123
_symmetry_space_group_name_Hall '-P 4 2'
loop_
_atom_site_label
_atom_site_fract_x
_atom_site_fract_y
_atom_site_fract_z
Ba1 0.0000 0.0000 0.0000
Tl1 0.0000 0.0000 0.5000
Tl2 0.0000 0.5000 0.2882
Tl3 0.5000 0.5000 0.5000
Hg1 0.5000 0.5000 0.1208
```

Computed properties:
Theoretical density in g/cm³: 9.99
Relative energy among the computed polymorphs in eV/f.u.: 0.000
Total moment in μB per cell: 0.00
E_form in eV per atom: -0.135
Total DFT energy (no corrections) in Ry per atom: -0.1465